Material: NaZnAs2Br
Method: DFT, meta-GGA SCAN
State: single point on PBEsol structure

Unit cell a=4.6687 b=4.6687 c=6.0664 alpha=90.00 beta=90.00 gamma=90.00
Site moments in Bohr magnetons follow the coordinates.
Fractional positions:
As  0.0000  0.5000  0.0000  0.29
Br  0.0000  0.0000  0.5000  0.11
As  0.5000  0.0000  0.0000  0.29
Na  0.5000  0.5000  0.5000  0.00
Zn  0.0000  0.0000  0.0000  0.01

## Properties
Symmetry: P4/mmm (123)

***

Material: NbNi2AsBr
Method: DFT, meta-GGA SCAN
State: single point on PBEsol structure

Unit cell a=4.2496 b=4.2496 c=5.2406 alpha=90.00 beta=90.00 gamma=90.00
Site moments in Bohr magnetons follow the coordinates.
Fractional positions:
Nb  0.5000  0.5000  0.5000  2.38
Ni  0.5000  0.0000  0.0000  -0.26
Br  0.0000  0.0000  0.5000  0.01
As  0.0000  0.0000  0.0000  -0.03
Ni  0.0000  0.5000  0.0000  -0.26

## Properties
Symmetry: P4/mmm (123)

***

The records above give, respectively, energy values of -15.5218 -20.1683 eV per atom.